# 1
A plane-wave DFT calculation with PBE-GGA was carried out for a geometry-optimized Tb3Nd5Sm4 structure.

POSCAR file:
```
Tb3Nd5Sm4
1.0
1.0635 -1.5502 7.0134
-5.5164 -6.0941 -8.0296
10.8916 3.1749 6.5546
Tb Sm Nd
3 4 5
Direct
0.4163 0.8329 0.6666 Tb
0.5837 0.1671 0.3334 Tb
0.0000 0.0000 0.5000 Tb
0.9161 0.8321 0.6659 Sm
0.8347 0.6687 0.8340 Sm
0.0839 0.1679 0.3341 Sm
0.1653 0.3313 0.1660 Sm
0.3343 0.6658 0.8316 Nd
0.7502 0.4986 0.9989 Nd
0.5000 0.0000 0.5000 Nd
0.2498 0.5014 0.0011 Nd
0.6657 0.3342 0.1684 Nd
```

Results
Space group: No. 2
D(E_F), states/eV/atom: 1.38
Energy above the most stable polymorph in this dataset, eV per atom: 0.0000
Calculated formation energy, eV/atom: 0.01



# 2
A plane-wave DFT calculation with PBE-GGA was carried out for a geometry-optimized Rb2LaAlO4 structure.

POSCAR file:
```
Rb2LaAlO4
1.0
-5.2250 0.2486 -3.1574
0.6772 -7.3580 -1.7002
-3.5985 -1.6767 5.8230
Al La O Rb
2 2 8 4
Direct
0.0028 0.1633 0.0000 Al
0.5028 0.8367 0.5000 Al
0.9988 0.1159 0.5000 La
0.4988 0.8841 0.0000 La
0.9416 0.2793 0.2191 O
0.3604 0.0449 0.5000 O
0.2926 0.1257 0.0000 O
0.4416 0.7207 0.2809 O
0.4416 0.7207 0.7191 O
0.9416 0.2793 0.7809 O
0.7926 0.8743 0.5000 O
0.8604 0.9551 0.0000 O
0.4810 0.3437 0.2560 Rb
0.9810 0.6563 0.2440 Rb
0.4810 0.3437 0.7440 Rb
0.9810 0.6563 0.7560 Rb
```

Results
Space group: No. 31
D(E_F), states/eV/atom: 0.00
E_form (uncorrected), eV per atom: -2.463



# 3
A plane-wave DFT calculation with PBE-GGA was carried out for a geometry-optimized ZrFeNiPt2 structure.

POSCAR file:
```
ZrFeNiPt2
1.0
4.6125 0.0000 0.0000
0.0000 4.0643 0.0000
0.0000 0.0000 4.6125
Pt Fe Ni Zr
2 1 1 1
Direct
0.5000 0.0000 0.0000 Pt
0.0000 0.0000 0.5000 Pt
0.0000 0.5000 0.0000 Fe
0.0000 0.0000 0.0000 Ni
0.5000 0.5000 0.5000 Zr
```

Results
Space group: No. 123
D(E_F), states/eV/atom: 1.08
Calculated formation energy, eV/atom: 0.44



# 4
A plane-wave DFT calculation with PBE-GGA was carried out for a geometry-optimized In2FeP structure.

POSCAR file:
```
In2FeP
1.0
-1.1321 1.5947 2.3208
-2.5529 -0.7927 -1.4371
-0.4120 -6.8813 4.5274
In P Fe
2 1 1
Direct
0.0000 0.0000 0.5165 In
0.0000 0.0000 0.9835 In
0.5000 0.5000 0.2500 P
0.5000 0.5000 0.7500 Fe
```

Results
Space group: No. 65
D(E_F), states/eV/atom: 0.68
Calculated formation energy, eV/atom: 0.46



# 5
A plane-wave DFT calculation with PBE-GGA was carried out for a geometry-optimized Ba6IrN2 structure.

POSCAR file:
```
Ba6IrN2
1.0
4.9240 0.0000 0.0000
-2.4620 7.5456 0.1520
0.0000 -2.1405 9.8880
Ba N Ir
6 2 1
Direct
0.8158 0.6315 0.1118 Ba
0.1027 0.2053 0.2420 Ba
0.6270 0.2540 0.5974 Ba
0.1842 0.3685 0.8882 Ba
0.8973 0.7947 0.7580 Ba
0.3730 0.7460 0.4026 Ba
0.2520 0.5040 0.1616 N
0.7480 0.4960 0.8384 N
0.0000 0.0000 0.5000 Ir
```

Results
Space group: No. 12
D(E_F), states/eV/atom: 0.57
E_form (uncorrected), eV per atom: -0.182



# 6
A plane-wave DFT calculation with PBE-GGA was carried out for a geometry-optimized V5FeTc4 structure.

POSCAR file:
```
V5FeTc4
1.0
-2.4780 1.0576 1.3429
0.4049 -1.9345 2.2707
8.2159 10.1408 7.1743
Tc V Fe
4 5 1
Direct
0.0000 0.0000 0.1943 Tc
0.0000 0.0000 0.8057 Tc
0.0000 0.0000 0.6018 Tc
0.0000 0.0000 0.3982 Tc
0.5000 0.5000 0.9051 V
0.5000 0.5000 0.5000 V
0.5000 0.5000 0.0949 V
0.5000 0.5000 0.2966 V
0.5000 0.5000 0.7034 V
0.0000 0.0000 0.0000 Fe
```

Results
Space group: No. 123
D(E_F), states/eV/atom: 0.64
Calculated formation energy, eV/atom: -0.31



# 7
A plane-wave DFT calculation with PBE-GGA was carried out for a geometry-optimized SbMoRh2 structure.

POSCAR file:
```
SbMoRh2
1.0
4.7755 -0.0093 -0.0019
3.8709 2.7967 -0.0019
0.9360 0.3017 4.8563
Rh Sb Mo
2 1 1
Direct
0.7521 0.7521 0.7424 Rh
0.9966 0.9966 0.0224 Rh
0.4991 0.4991 0.5284 Sb
0.2523 0.2523 0.2068 Mo
```

Results
Space group: No. 8
D(E_F), states/eV/atom: 0.77
E_form (uncorrected), eV per atom: -0.058



# 8
A plane-wave DFT calculation with PBE-GGA was carried out for a geometry-optimized YbSnF7 structure.

POSCAR file:
```
YbSnF7
1.0
5.6836 0.0000 0.0000
0.0000 9.0325 -0.1093
0.0000 5.7310 10.6296
F Sn Yb
28 4 4
Direct
0.4585 0.2539 0.3277 F
0.0745 0.0264 0.2659 F
0.2707 0.5207 0.3584 F
0.7428 0.9758 0.4451 F
0.0197 0.7306 0.6448 F
0.5197 0.2694 0.8552 F
0.0415 0.2539 0.8277 F
0.7572 0.9758 0.9451 F
0.9255 0.9736 0.7341 F
0.7293 0.4793 0.6416 F
0.7707 0.4793 0.1416 F
0.5441 0.7079 0.9188 F
0.4803 0.7306 0.1448 F
0.0441 0.2921 0.5812 F
0.2293 0.5207 0.8584 F
0.0483 0.7197 0.9522 F
0.2428 0.0242 0.0549 F
0.9803 0.2694 0.3552 F
0.2572 0.0242 0.5549 F
0.5745 0.9736 0.2341 F
0.9517 0.2803 0.0478 F
0.4517 0.7197 0.4522 F
0.4559 0.2921 0.0812 F
0.9559 0.7079 0.4188 F
0.4255 0.0264 0.7659 F
0.5483 0.2803 0.5478 F
0.5415 0.7461 0.6723 F
0.9585 0.7461 0.1723 F
0.7562 0.7268 0.0435 Sn
0.2438 0.2732 0.9565 Sn
0.7438 0.7268 0.5435 Sn
0.2562 0.2732 0.4565 Sn
0.2428 0.8111 0.7653 Yb
0.7428 0.1889 0.7347 Yb
0.2572 0.8111 0.2653 Yb
0.7572 0.1889 0.2347 Yb
```

Results
Space group: No. 14
D(E_F), states/eV/atom: 1.93
E_form (uncorrected), eV per atom: -2.920



# 9
A plane-wave DFT calculation with PBE-GGA was carried out for a geometry-optimized TiCdAs2 structure.

POSCAR file:
```
TiCdAs2
1.0
-2.0885 2.9618 -0.9106
-1.3278 0.3525 -3.4750
-6.7565 -2.3028 0.3390
As Ti Cd
2 1 1
Direct
0.2601 0.2601 0.2196 As
0.7399 0.7399 0.7804 As
0.0000 0.0000 0.0000 Ti
0.5000 0.5000 0.5000 Cd
```

Results
Space group: No. 166
D(E_F), states/eV/atom: 0.49
Energy above the most stable polymorph in this dataset, eV per atom: 0.0000
Calculated formation energy, eV/atom: -0.30



# 10
A plane-wave DFT calculation with PBE-GGA was carried out for a geometry-optimized La2GaAgSe5 structure.

POSCAR file:
```
La2GaAgSe5
1.0
-2.9473 -2.8745 0.1010
6.5943 -4.0070 -5.5719
5.1288 -4.9210 9.6087
La Se Ag Ga
4 10 2 2
Direct
0.1210 0.2420 0.6827 La
0.1265 0.2530 0.2992 La
0.8790 0.7580 0.1827 La
0.8735 0.7470 0.7992 La
0.4976 0.9953 0.2740 Se
0.3164 0.6329 0.3562 Se
0.7101 0.4202 0.1773 Se
0.2899 0.5798 0.6773 Se
0.9599 0.9198 0.5619 Se
0.0401 0.0802 0.0619 Se
0.6320 0.2640 0.4947 Se
0.5024 0.0047 0.7740 Se
0.3680 0.7360 0.9947 Se
0.6836 0.3671 0.8562 Se
0.2269 0.4537 0.0259 Ag
0.7731 0.5463 0.5259 Ag
0.5685 0.1371 0.9521 Ga
0.4315 0.8629 0.4521 Ga
```

Results
Space group: No. 36
E_form (uncorrected), eV per atom: -1.293



# 11
A plane-wave DFT calculation with PBE-GGA was carried out for a geometry-optimized Tb2Nd2Sm4Y structure.

POSCAR file:
```
Tb2Nd2Sm4Y
1.0
-3.4234 0.4367 -1.2023
-0.3305 -9.0978 3.1909
-1.5047 6.8086 6.7571
Sm Tb Nd Y
4 2 2 1
Direct
0.8143 0.6286 0.6660 Sm
0.4812 0.9623 0.6649 Sm
0.5188 0.0377 0.3351 Sm
0.1857 0.3714 0.3340 Sm
0.8522 0.7044 0.3338 Tb
0.1478 0.2956 0.6662 Tb
0.6660 0.3320 0.9983 Nd
0.3340 0.6680 0.0017 Nd
0.0000 0.0000 0.0000 Y
```

Results
Space group: No. 12
D(E_F), states/eV/atom: 1.31
Calculated formation energy, eV/atom: 0.00



# 12
A plane-wave DFT calculation with PBE-GGA was carried out for a geometry-optimized NaGe4Pt6 structure.

POSCAR file:
```
NaGe4Pt6
1.0
6.5859 -0.0137 -0.0201
-3.0571 5.8334 0.0201
-3.0571 -2.1260 5.4322
Pt Na Ge
6 1 4
Direct
0.0000 0.4666 0.7737 Pt
0.3071 0.5334 0.5334 Pt
0.0000 0.7737 0.4666 Pt
0.6929 0.2263 0.2263 Pt
0.5000 0.5000 0.0000 Pt
0.5000 0.0000 0.5000 Pt
0.0000 0.0000 0.0000 Na
0.0000 0.5480 0.1315 Ge
0.4164 0.8685 0.8685 Ge
0.5836 0.4520 0.4520 Ge
0.0000 0.1315 0.5480 Ge
```

Results
Space group: No. 121
D(E_F), states/eV/atom: 0.53
Energy above the most stable polymorph in this dataset, eV per atom: 0.1429
Calculated formation energy, eV/atom: -0.33



# 13
A plane-wave DFT calculation with PBE-GGA was carried out for a geometry-optimized Li2ReGe structure.

POSCAR file:
```
Li2ReGe
1.0
0.0000 2.9761 2.9761
2.9761 0.0000 2.9761
2.9761 2.9761 0.0000
Re Li Ge
1 2 1
Direct
0.5000 0.5000 0.5000 Re
0.2500 0.2500 0.2500 Li
0.7500 0.7500 0.7500 Li
0.0000 0.0000 0.0000 Ge
```

Results
Space group: No. 225
D(E_F), states/eV/atom: 0.92
Energy above the most stable polymorph in this dataset, eV per atom: 0.0307
Calculated formation energy, eV/atom: 0.52



# 14
A plane-wave DFT calculation with PBE-GGA was carried out for a geometry-optimized Sc3CdN structure.

POSCAR file:
```
Sc3CdN
1.0
5.0582 0.0000 1.8259
-2.5291 4.3805 1.8259
-2.5291 -4.3805 1.8259
Sc N Cd
3 1 1
Direct
0.0866 0.7200 0.7200 Sc
0.7200 0.0866 0.7200 Sc
0.7200 0.7200 0.0866 Sc
0.9690 0.9690 0.9690 N
0.3794 0.3794 0.3794 Cd
```

Results
Space group: No. 160
D(E_F), states/eV/atom: 1.05
E_form (uncorrected), eV per atom: -0.217



# 15
A plane-wave DFT calculation with PBE-GGA was carried out for a geometry-optimized LaTc2Rh structure.

POSCAR file:
```
LaTc2Rh
1.0
-1.2952 1.0372 -4.2113
-3.4429 -2.9187 0.3401
-7.7404 5.7808 1.3718
La Rh Tc
2 2 4
Direct
0.0000 0.0000 0.0000 La
0.7500 0.2500 0.5000 La
0.2500 0.7500 0.5000 Rh
0.5000 0.5000 0.0000 Rh
0.3750 0.5776 0.7500 Tc
0.8750 0.6724 0.7500 Tc
0.3276 0.6250 0.2500 Tc
0.4224 0.1250 0.2500 Tc
```

Results
Space group: No. 122
D(E_F), states/eV/atom: 0.94
Energy above the most stable polymorph in this dataset, eV per atom: 0.4478
Calculated formation energy, eV/atom: 0.50



# 16
A plane-wave DFT calculation with PBE-GGA was carried out for a geometry-optimized KNa2InSb2 structure.

POSCAR file:
```
KNa2InSb2
1.0
4.9149 0.0000 0.0000
0.0000 8.4185 0.0000
0.0000 0.0000 9.1080
In Na Sb K
2 4 4 2
Direct
0.5000 0.6464 0.3255 In
0.5000 0.1464 0.6745 In
0.0000 0.8549 0.8239 Na
0.0000 0.3549 0.1761 Na
0.5000 0.5314 0.9181 Na
0.5000 0.0314 0.0819 Na
0.5000 0.7904 0.6279 Sb
0.0000 0.7251 0.1469 Sb
0.0000 0.2251 0.8531 Sb
0.5000 0.2904 0.3721 Sb
0.0000 0.4972 0.5719 K
0.0000 0.9972 0.4281 K
```

Results
Space group: No. 26
D(E_F), states/eV/atom: 0.12
E_form (uncorrected), eV per atom: -0.381



# 17
A plane-wave DFT calculation with PBE-GGA was carried out for a geometry-optimized Cs2Zn2SnO6 structure.

POSCAR file:
```
Cs2Zn2SnO6
1.0
6.0405 0.0000 0.0000
3.0202 5.2312 0.0000
3.0202 1.7437 6.5428
Zn O Sn Cs
2 6 1 2
Direct
0.6089 0.6089 0.1732 Zn
0.3911 0.3911 0.8268 Zn
0.2227 0.2227 0.7997 O
0.7773 0.2452 0.2003 O
0.2227 0.7548 0.7997 O
0.7773 0.7773 0.2003 O
0.7548 0.2227 0.7997 O
0.2452 0.7773 0.2003 O
0.0000 0.0000 0.0000 Sn
0.7908 0.7908 0.6275 Cs
0.2092 0.2092 0.3725 Cs
```

Results
Space group: No. 166
D(E_F), states/eV/atom: 0.38
E_form (uncorrected), eV per atom: -1.187



# 18
A plane-wave DFT calculation with PBE-GGA was carried out for a geometry-optimized TaCoSi structure.

POSCAR file:
```
TaCoSi
1.0
-2.2719 -2.5201 1.4020
-1.8476 -1.5112 -5.7103
7.6962 -7.2657 -0.5891
Ta Co Si
6 6 6
Direct
0.2500 0.4787 0.6205 Ta
0.7500 0.0154 0.2948 Ta
0.7500 0.6535 0.0752 Ta
0.7500 0.5213 0.3795 Ta
0.2500 0.9846 0.7052 Ta
0.2500 0.3465 0.9248 Ta
0.7500 0.0090 0.9089 Co
0.2500 0.3562 0.2062 Co
0.7500 0.1432 0.5419 Co
0.7500 0.6438 0.7938 Co
0.2500 0.9910 0.0911 Co
0.2500 0.8568 0.4581 Co
0.2500 0.2287 0.4211 Si
0.7500 0.2753 0.7518 Si
0.2500 0.7247 0.2482 Si
0.2500 0.7736 0.9129 Si
0.7500 0.7713 0.5789 Si
0.7500 0.2264 0.0871 Si
```

Results
Space group: No. 11
D(E_F), states/eV/atom: 0.33
E_form (uncorrected), eV per atom: -0.690



# 19
A plane-wave DFT calculation with PBE-GGA was carried out for a geometry-optimized MnCr2Ir structure.

POSCAR file:
```
MnCr2Ir
1.0
2.6492 0.0000 0.0000
0.0000 2.6492 0.0000
0.0000 0.0000 7.0353
Cr Ir Mn
2 1 1
Direct
0.0000 0.0000 0.9830 Cr
0.0000 0.0000 0.5170 Cr
0.5000 0.5000 0.2500 Ir
0.5000 0.5000 0.7500 Mn
```

Results
Space group: No. 123
D(E_F), states/eV/atom: 1.62
Calculated formation energy, eV/atom: 0.03



# 20
A plane-wave DFT calculation with PBE-GGA was carried out for a geometry-optimized MnTcH3 structure.

POSCAR file:
```
MnTcH3
1.0
3.2478 0.0000 0.0000
0.0000 3.2478 0.0000
0.0000 0.0000 3.2478
Tc H Mn
1 3 1
Direct
0.5000 0.5000 0.5000 Tc
0.5000 0.0000 0.0000 H
0.0000 0.0000 0.5000 H
0.0000 0.5000 0.0000 H
0.0000 0.0000 0.0000 Mn
```

Results
Space group: No. 221
D(E_F), states/eV/atom: 0.56
Energy above the most stable polymorph in this dataset, eV per atom: 0.0964



Number 1: total moment 0.0 Bohr magnetons per cell. Number 2: total moment 0.0 Bohr magnetons per cell. Number 3: total moment 0.0 Bohr magnetons per cell. Number 4: total moment 2.3 Bohr magnetons per cell. Number 5: total moment 0.3 Bohr magnetons per cell. Number 6: total moment 0.7 Bohr magnetons per cell. Number 7: total moment 0.0 Bohr magnetons per cell. Number 8: total moment 4.1 Bohr magnetons per cell. Number 9: total moment 0.0 Bohr magnetons per cell. Number 10: total moment 0.0 Bohr magnetons per cell. Number 11: total moment 0.0 Bohr magnetons per cell. Number 12: total moment 0.0 Bohr magnetons per cell. Number 13: total moment 1.2 Bohr magnetons per cell. Number 14: total moment 1.6 Bohr magnetons per cell. Number 15: total moment 0.0 Bohr magnetons per cell. Number 16: total moment 0.0 Bohr magnetons per cell. Number 17: total moment 2.1 Bohr magnetons per cell. Number 18: total moment 0.0 Bohr magnetons per cell. Number 19: total moment 0.3 Bohr magnetons per cell. Number 20: total moment 2.1 Bohr magnetons per cell.